# 1
First-principles (PBE) data for a relaxed structure of Na2Sr4Li, as listed in Alexandria.

Structure (CIF):
```
data_Na2Sr4Li
_cell_length_a 6.1856
_cell_length_b 6.1856
_cell_length_c 30.0150
_cell_angle_alpha 90.00
_cell_angle_beta 90.00
_cell_angle_gamma 120.00
_space_group_name_H-M_alt 'R -3 m'
_space_group_IT_number 166
_space_group_name_Hall '-R 3 2"'
loop_
_atom_site_label
_atom_site_fract_x
_atom_site_fract_y
_atom_site_fract_z
_atom_site_occupancy
Na1 0.0000 0.0000 0.2458 1
Sr1 0.0000 0.0000 0.1223 1
Sr2 0.0000 0.0000 0.3731 1
Li1 0.0000 0.0000 0.5000 1
```

Summary:
* calculated volume: 47.36 A^3/atom
* density: 2.0 g/cm³
* energy relative to the elements: 0.115 eV per atom
* density of states at the Fermi level: 18.8 states/eV per cell

# 2
First-principles (PBE) data for a relaxed structure of NaSrLi, as listed in Alexandria.

Structure (CIF):
```
data_NaSrLi
_cell_length_a 4.1711
_cell_length_b 4.1711
_cell_length_c 12.9277
_cell_angle_alpha 90.00
_cell_angle_beta 90.00
_cell_angle_gamma 90.00
_space_group_name_H-M_alt 'I 4 m m'
_space_group_IT_number 107
_space_group_name_Hall 'I 4 -2'
loop_
_atom_site_label
_atom_site_fract_x
_atom_site_fract_y
_atom_site_fract_z
_atom_site_occupancy
Na1 0.0000 0.0000 0.0000 1
Sr1 0.0000 0.0000 0.7013 1
Li1 0.0000 0.0000 0.3777 1
```

Summary:
* calculated volume: 37.49 A^3/atom
* density: 1.7 g/cm³
* energy relative to the elements: 0.051 eV per atom
* density of states at the Fermi level: 4.9 states/eV per cell

# 3
First-principles (PBE) data for a relaxed structure of Na3SrLi, as listed in Alexandria.

Structure (CIF):
```
data_Na3SrLi
_cell_length_a 5.7827
_cell_length_b 5.7827
_cell_length_c 5.7827
_cell_angle_alpha 90.00
_cell_angle_beta 90.00
_cell_angle_gamma 90.00
_space_group_name_H-M_alt 'P m -3 m'
_space_group_IT_number 221
_space_group_name_Hall '-P 4 2 3'
loop_
_atom_site_label
_atom_site_fract_x
_atom_site_fract_y
_atom_site_fract_z
_atom_site_occupancy
Na1 0.0000 0.0000 0.5000 1
Sr1 0.5000 0.5000 0.5000 1
Li1 0.0000 0.0000 0.0000 1
```

Summary:
* calculated volume: 38.67 A^3/atom
* density: 1.4 g/cm³
* energy relative to the elements: 0.142 eV per atom
* density of states at the Fermi level: 3.4 states/eV per cell

# 4
First-principles (PBE) data for a relaxed structure of Na5Sr6Li, as listed in Alexandria.

Structure (CIF):
```
data_Na5Sr6Li
_cell_length_a 6.2695
_cell_length_b 9.0336
_cell_length_c 18.7817
_cell_angle_alpha 90.00
_cell_angle_beta 90.00
_cell_angle_gamma 90.00
_space_group_name_H-M_alt 'I m m m'
_space_group_IT_number 71
_space_group_name_Hall '-I 2 2'
loop_
_atom_site_label
_atom_site_fract_x
_atom_site_fract_y
_atom_site_fract_z
_atom_site_occupancy
Na1 0.0000 0.0000 0.0000 1
Na2 0.0000 0.0000 0.3285 1
Na3 0.0000 0.5000 0.3341 1
Sr1 0.0000 0.2384 0.5000 1
Sr2 0.0000 0.2561 0.1625 1
Li1 0.0000 0.5000 0.0000 1
```

Summary:
* calculated volume: 44.32 A^3/atom
* density: 2.0 g/cm³
* energy relative to the elements: 0.027 eV per atom
* density of states at the Fermi level: 17.3 states/eV per cell